1.
An optimized crystal structure of NdCd11Hg, computed with GGA-PBE.

a b c (Å): 7.6734 7.6734 7.6650
angles (deg): 98.83 98.83 133.68
With the nearest neighbours (Å) after each atom.
Fractional coordinates of all 13 atoms:
Nd 0.0000 0.0000 0.0000  18 Cd 3.51-3.84, 2 Hg 3.84
Cd 0.0000 0.0000 0.5000  8 Cd 2.94-3.09, 2 Hg 3.02
Cd 0.0000 0.5000 0.0000  10 Cd 2.92-3.08
Cd 0.0030 0.6500 0.6490  7 Cd 2.95-3.30, 1 Hg 3.10
Cd 0.2840 0.4975 0.7872  7 Cd 2.92-3.23, 1 Hg 2.95
Cd 0.3500 0.9970 0.3510  7 Cd 2.95-3.30, 1 Hg 3.10
Cd 0.4975 0.2840 0.7872  7 Cd 2.92-3.23, 1 Hg 2.95
Cd 0.5000 0.0000 0.0000  10 Cd 2.92-3.08
Cd 0.5025 0.7160 0.2128  7 Cd 2.92-3.23, 1 Hg 2.95
Cd 0.6500 0.0030 0.6490  7 Cd 2.95-3.30, 1 Hg 3.10
Cd 0.7160 0.5025 0.2128  7 Cd 2.92-3.23, 1 Hg 2.95
Cd 0.9970 0.3500 0.3510  7 Cd 2.95-3.30, 1 Hg 3.10
Hg 0.5000 0.5000 0.5000  10 Cd 2.95-3.10

## Properties
The symmetry is C2/m (12). The formation energy comes out at -104.6 meV/atom. Its final energy is -16.5 eV for the cell shown. As for the crystal system: monoclinic.


2.
An optimized crystal structure of Cu2TeHC, computed with GGA-PBE.

a b c (Å): 3.3954 3.3954 5.9908
angles (deg): 90.00 90.00 90.00
With the nearest neighbours (Å) after each atom.
Fractional coordinates of all 5 atoms:
Cu 0.0000 0.5000 0.0000  2 H 1.70
Cu 0.5000 0.0000 0.0000  2 H 1.70
Te 0.0000 0.0000 0.5000  4 C 2.40
H 0.0000 0.0000 0.0000  4 Cu 1.70
C 0.5000 0.5000 0.5000  4 Te 2.40

## Properties
The symmetry is P4/mmm (123). Its final energy is -18.3 eV for the cell shown. As for the crystal system: tetragonal.


3.
An optimized crystal structure of BaGeN, computed with GGA-PBE.

a b c (Å): 5.7819 10.2890 4.7866
angles (deg): 90.00 90.00 90.00
With the nearest neighbours (Å) after each atom.
Fractional coordinates of all 12 atoms:
Ba 0.0000 0.1909 0.2500  4 N 2.78-2.90
Ba 0.0000 0.8091 0.7500  4 N 2.78-2.90
Ba 0.5000 0.3091 0.7500  4 N 2.78-2.90
Ba 0.5000 0.6909 0.2500  4 N 2.78-2.90
Ge 0.0000 0.5000 0.0000  2 N 2.14, 2 Ge 2.39
Ge 0.0000 0.5000 0.5000  2 N 2.14, 2 Ge 2.39
Ge 0.5000 0.0000 0.0000  2 N 2.14, 2 Ge 2.39
Ge 0.5000 0.0000 0.5000  2 N 2.14, 2 Ge 2.39
N 0.0000 0.3277 0.7500  2 Ge 2.14
N 0.0000 0.6723 0.2500  2 Ge 2.14
N 0.5000 0.1723 0.2500  2 Ge 2.14
N 0.5000 0.8277 0.7500  2 Ge 2.14

## Properties
The polymorph energy (0 for the lowest one) is 473 meV per atom. The symmetry is Cmcm (63). Its uncorrected formation energy is -19 meV/atom. Its final energy is -59.7 eV for the cell shown. As for the crystal system: orthorhombic.


4.
An optimized crystal structure of Sm4ZnRh, computed with GGA-PBE.

a b c (Å): 7.2814 7.0527 6.9646
angles (deg): 90.00 92.76 90.00
With the nearest neighbours (Å) after each atom.
Fractional coordinates of all 12 atoms:
Sm 0.1512 0.1554 0.1721  2 Rh 2.81-2.90, 1 Zn 3.06
Sm 0.1512 0.3446 0.6721  2 Rh 2.81-2.90, 1 Zn 3.06
Sm 0.3243 0.6529 0.1403  1 Rh 2.73, 2 Zn 2.95-2.96
Sm 0.3243 0.8471 0.6403  1 Rh 2.73, 2 Zn 2.95-2.96
Sm 0.6757 0.1529 0.3597  1 Rh 2.73, 2 Zn 2.95-2.96
Sm 0.6757 0.3471 0.8597  1 Rh 2.73, 2 Zn 2.95-2.96
Sm 0.8488 0.6554 0.3279  2 Rh 2.81-2.90, 1 Zn 3.06
Sm 0.8488 0.8446 0.8279  2 Rh 2.81-2.90, 1 Zn 3.06
Zn 0.5000 0.0000 0.0000  6 Sm 2.95-3.06
Zn 0.5000 0.5000 0.5000  6 Sm 2.95-3.06
Rh 0.0000 0.0000 0.5000  6 Sm 2.73-2.90
Rh 0.0000 0.5000 0.0000  6 Sm 2.73-2.90

## Properties
The polymorph energy (0 for the lowest one) is 155 meV per atom. The symmetry is P2_1/c (14). The formation energy comes out at -258.1 meV/atom. Its final energy is -58.1 eV for the cell shown. As for the crystal system: monoclinic.


5.
An optimized crystal structure of Sr2ScGe3Pd4, computed with GGA-PBE.

a b c (Å): 4.3485 4.3485 10.9673
angles (deg): 90.00 90.00 90.00
With the nearest neighbours (Å) after each atom.
Fractional coordinates of all 10 atoms:
Sr 0.0000 0.5000 0.2366  6 Ge 3.32-3.62, 8 Pd 3.33-3.39, 2 Sc 3.62
Sr 0.5000 0.0000 0.7634  6 Ge 3.32-3.62, 8 Pd 3.33-3.39, 2 Sc 3.62
Sc 0.0000 0.0000 0.5000  4 Pd 2.70
Ge 0.0000 0.5000 0.8778  5 Pd 2.54-2.55
Ge 0.5000 0.0000 0.1222  5 Pd 2.54-2.55
Ge 0.5000 0.5000 0.5000  4 Pd 2.70
Pd 0.0000 0.0000 0.0000  4 Ge 2.55
Pd 0.0000 0.5000 0.6461  3 Ge 2.54-2.70, 2 Sc 2.70
Pd 0.5000 0.0000 0.3539  3 Ge 2.54-2.70, 2 Sc 2.70
Pd 0.5000 0.5000 0.0000  4 Ge 2.55

## Properties
The symmetry is P-4m2 (115). The formation energy comes out at -754.5 meV/atom. Its final energy is -51.9 eV for the cell shown. As for the crystal system: tetragonal.


6.
An optimized crystal structure of Cu2Pb, computed with GGA-PBE.

a b c (Å): 3.9053 3.9053 15.0219
angles (deg): 90.00 90.00 90.00
With the nearest neighbours (Å) after each atom.
Fractional coordinates of all 12 atoms:
Cu 0.0000 0.2500 0.2948  3 Cu 2.37-2.41
Cu 0.0000 0.2500 0.4552  3 Cu 2.37-2.41
Cu 0.0000 0.7500 0.5448  3 Cu 2.37-2.41
Cu 0.0000 0.7500 0.7052  3 Cu 2.37-2.41
Cu 0.5000 0.2500 0.0448  3 Cu 2.37-2.41
Cu 0.5000 0.2500 0.2052  3 Cu 2.37-2.41
Cu 0.5000 0.7500 0.7948  3 Cu 2.37-2.41
Cu 0.5000 0.7500 0.9552  3 Cu 2.37-2.41
Pb 0.0000 0.2500 0.8750  12 Cu 3.01-3.21
Pb 0.0000 0.7500 0.1250  12 Cu 3.01-3.21
Pb 0.5000 0.2500 0.6250  12 Cu 3.01-3.21
Pb 0.5000 0.7500 0.3750  12 Cu 3.01-3.21

## Properties
The symmetry is I4_1/amd (141). The formation energy comes out at 302.8 meV/atom. Its final energy is -44.0 eV for the cell shown. As for the crystal system: tetragonal.


7.
An optimized crystal structure of PuGeP, computed with GGA-PBE.

a b c (Å): 4.2800 4.2800 3.7501
angles (deg): 90.00 90.00 120.00
With the nearest neighbours (Å) after each atom.
Fractional coordinates of all 3 atoms:
Pu 0.0000 0.0000 0.0000  6 Ge 3.10, 6 P 3.10
Ge 0.3333 0.6667 0.5000  3 P 2.47
P 0.6667 0.3333 0.5000  3 Ge 2.47

## Properties
The polymorph energy (0 for the lowest one) is 188 meV per atom. The symmetry is P-6m2 (187). The formation energy comes out at -466.9 meV/atom. Its final energy is -25.8 eV for the cell shown. As for the crystal system: hexagonal.


8.
An optimized crystal structure of Dy8In3Sn2, computed with GGA-PBE.

a b c (Å): 9.1510 9.1510 5.0867
angles (deg): 90.00 90.00 111.33
With the nearest neighbours (Å) after each atom.
Fractional coordinates of all 13 atoms:
Dy 0.1176 0.8824 0.0000  2 Sn 3.16, 2 In 3.17
Dy 0.1225 0.3763 0.5000  2 Sn 3.10-3.26, 3 In 3.19-3.22
Dy 0.3655 0.6345 0.0000  2 Sn 3.16, 4 In 3.25-3.26
Dy 0.3763 0.1225 0.5000  2 Sn 3.10-3.26, 3 In 3.19-3.22
Dy 0.6237 0.8775 0.5000  2 Sn 3.10-3.26, 3 In 3.19-3.22
Dy 0.6345 0.3655 0.0000  2 Sn 3.16, 4 In 3.25-3.26
Dy 0.8775 0.6237 0.5000  2 Sn 3.10-3.26, 3 In 3.19-3.22
Dy 0.8824 0.1176 0.0000  2 Sn 3.16, 2 In 3.17
In 0.2540 0.2540 0.0000  8 Dy 3.17-3.25
In 0.5000 0.5000 0.5000  8 Dy 3.22-3.26, 4 In 3.59
In 0.7460 0.7460 0.0000  8 Dy 3.17-3.25
Sn 0.2415 0.7585 0.5000  8 Dy 3.10-3.26
Sn 0.7585 0.2415 0.5000  8 Dy 3.10-3.26

## Properties
The symmetry is Cmmm (65). The formation energy comes out at -339.3 meV/atom. Its final energy is -57.4 eV for the cell shown. As for the crystal system: orthorhombic.


9.
An optimized crystal structure of PuMg3, computed with GGA-PBE.

a b c (Å): 3.0204 5.3399 6.0829
angles (deg): 90.00 90.00 90.00
With the nearest neighbours (Å) after each atom.
Fractional coordinates of all 4 atoms:
Pu 0.0000 0.0000 0.0000  2 Pu 3.02, 6 Mg 3.26-3.32
Mg 0.0000 0.5000 0.6932  8 Mg 3.02-3.30, 2 Pu 3.26
Mg 0.5000 0.0000 0.4998  8 Mg 3.02-3.29
Mg 0.5000 0.5000 0.2105  6 Mg 3.02-3.30, 4 Pu 3.32

## Properties
The symmetry is Pmm2 (25). The formation energy comes out at 119.3 meV/atom. Its final energy is -18.6 eV for the cell shown. As for the crystal system: orthorhombic.


10.
An optimized crystal structure of VIn2Hg, computed with GGA-PBE.

a b c (Å): 7.9949 7.9949 5.9511
angles (deg): 90.00 90.00 90.00
With the nearest neighbours (Å) after each atom.
Fractional coordinates of all 16 atoms:
V 0.0000 0.0000 0.0000  4 In 2.86, 2 Hg 2.98
V 0.0000 0.5000 0.2500  4 In 2.86, 2 Hg 2.98
V 0.5000 0.0000 0.7500  4 In 2.86, 2 Hg 2.98
V 0.5000 0.5000 0.5000  4 In 2.86, 2 Hg 2.98
In 0.2385 0.2500 0.1250  2 V 2.86, 2 In 2.98, 2 Hg 2.99
In 0.2500 0.7385 0.3750  2 V 2.86, 2 In 2.98, 2 Hg 2.99
In 0.2500 0.7615 0.8750  2 V 2.86, 2 In 2.98, 2 Hg 2.99
In 0.2615 0.2500 0.6250  2 V 2.86, 2 In 2.98, 2 Hg 2.99
In 0.7385 0.7500 0.6250  2 V 2.86, 2 In 2.98, 2 Hg 2.99
In 0.7500 0.2385 0.8750  2 V 2.86, 2 In 2.98, 2 Hg 2.99
In 0.7500 0.2615 0.3750  2 V 2.86, 2 In 2.98, 2 Hg 2.99
In 0.7615 0.7500 0.1250  2 V 2.86, 2 In 2.98, 2 Hg 2.99
Hg 0.0000 0.0000 0.5000  2 V 2.98, 4 In 2.99
Hg 0.0000 0.5000 0.7500  2 V 2.98, 4 In 2.99
Hg 0.5000 0.0000 0.2500  2 V 2.98, 4 In 2.99
Hg 0.5000 0.5000 0.0000  2 V 2.98, 4 In 2.99

## Properties
The polymorph energy (0 for the lowest one) is 68 meV per atom. The symmetry is I-42d (122). The formation energy comes out at 470.7 meV/atom. Its final energy is -52.1 eV for the cell shown. As for the crystal system: tetragonal.


11.
An optimized crystal structure of Dy2Er5Th2, computed with GGA-PBE.

a b c (Å): 11.3197 11.3197 8.0445
angles (deg): 99.46 99.46 17.58
With the nearest neighbours (Å) after each atom.
Fractional coordinates of all 9 atoms:
Dy 0.1709 0.1709 0.1612  2 Dy 3.46, 5 Er 3.51-3.83, 2 Th 3.70
Dy 0.8291 0.8291 0.8388  2 Dy 3.46, 5 Er 3.51-3.83, 2 Th 3.70
Er 0.0000 0.0000 0.0000  4 Er 3.22-3.46, 4 Th 3.36
Er 0.0913 0.0913 0.7303  5 Er 3.22-3.46, 2 Th 3.48
Er 0.3072 0.3072 0.4531  1 Th 3.26, 6 Er 3.28-3.46, 3 Dy 3.51-3.53
Er 0.6928 0.6928 0.5469  1 Th 3.26, 6 Er 3.28-3.46, 3 Dy 3.51-3.53
Er 0.9087 0.9087 0.2697  5 Er 3.22-3.46, 2 Th 3.48
Th 0.4471 0.4471 0.6483  7 Er 3.26-3.62, 3 Th 3.46-3.63
Th 0.5529 0.5529 0.3517  7 Er 3.26-3.62, 3 Th 3.46-3.63

## Properties
The polymorph energy (0 for the lowest one) is 41 meV per atom. The symmetry is C2/m (12). The formation energy comes out at 286.3 meV/atom. Its final energy is -44.3 eV for the cell shown. As for the crystal system: monoclinic.


12.
An optimized crystal structure of MoRuW2, computed with GGA-PBE.

a b c (Å): 9.4385 2.7721 4.8618
angles (deg): 90.00 99.88 90.00
With the nearest neighbours (Å) after each atom.
Fractional coordinates of all 8 atoms:
Mo 0.0000 0.0000 0.0000  3 Ru 2.74-2.91, 7 W 2.76-2.91, 2 Mo 2.77
Mo 0.5000 0.5000 0.0000  3 Ru 2.74-2.91, 7 W 2.76-2.91, 2 Mo 2.77
Ru 0.2605 0.0000 0.7566  7 W 2.73-2.90, 3 Mo 2.74-2.91, 2 Ru 2.77
Ru 0.7605 0.5000 0.7566  7 W 2.73-2.90, 3 Mo 2.74-2.91, 2 Ru 2.77
W 0.0214 0.5000 0.5179  3 Ru 2.73-2.90, 4 Mo 2.76-2.85, 5 W 2.77-2.92
W 0.2610 0.5000 0.2559  3 Mo 2.76-2.91, 5 W 2.77-2.92, 4 Ru 2.79-2.80
W 0.5214 0.0000 0.5179  3 Ru 2.73-2.90, 4 Mo 2.76-2.85, 5 W 2.77-2.92
W 0.7610 0.0000 0.2559  3 Mo 2.76-2.91, 5 W 2.77-2.92, 4 Ru 2.79-2.80

## Properties
The polymorph energy (0 for the lowest one) is 110 meV per atom. The symmetry is Cm (8). The formation energy comes out at 222.7 meV/atom. Its final energy is -90.2 eV for the cell shown. As for the crystal system: monoclinic.